Record 1
## Ho6IrAu5 (PBE-GGA)

Data for Ho6IrAu5 after structural relaxation.

Cell lengths 5.0147, 15.1073, 7.1245 Å; angles 90.00, 90.00, 90.00 degrees
Last column: nearest neighbours and their distance in Å.
Space group Cmmm (No. 65)
Asymmetric unit:
Ho 0.0000 0.0000 0.2389  2 Ir 3.03, 6 Au 3.11-3.12
Ho 0.0000 0.3388 0.2456  1 Ir 3.00, 7 Au 3.04-3.18
Ir 0.0000 0.5000 0.0000  8 Ho 3.00-3.03
Au 0.0000 0.1662 0.5000  8 Ho 3.09-3.18
Au 0.0000 0.1725 0.0000  8 Ho 3.06-3.11
Au 0.0000 0.5000 0.5000  8 Ho 3.04-3.12

Calculated values
Energy relative to the elements ... -0.87 eV/atom
E_tot ... -126.3 eV for the cell shown
Crystal system ... orthorhombic

=====

Record 2
## Ho8IrAu2 (PBE-GGA)

Data for Ho8IrAu2 after structural relaxation.

Cell lengths 17.4577, 5.0875, 6.7468 Å; angles 90.00, 105.62, 90.00 degrees
Last column: nearest neighbours and their distance in Å.
Space group C2/m (No. 12)
Asymmetric unit:
Ho 0.0297 0.0000 0.2900  1 Au 2.89, 2 Ir 3.02
Ho 0.0888 0.5000 0.9352  1 Ir 2.93
Ho 0.1604 0.5000 0.4700  1 Ir 2.86, 3 Au 2.90-3.13
Ho 0.2036 0.0000 0.8170  1 Au 2.85
Ir 0.0000 0.5000 0.5000  8 Ho 2.86-3.02
Au 0.1866 0.0000 0.2257  5 Ho 2.85-3.13

Calculated values
Energy relative to the elements ... -0.52 eV/atom
E_tot ... -115.6 eV for the cell shown
Crystal system ... monoclinic

=====

Record 3
## HoIrAu (PBE-GGA)

Data for HoIrAu after structural relaxation.

Cell lengths 3.5623, 3.5623, 9.2557 Å; angles 90.00, 90.00, 90.00 degrees
Last column: nearest neighbours and their distance in Å.
Space group I4mm (No. 107)
Asymmetric unit:
Ho 0.0000 0.0000 0.0000  5 Ir 2.91-3.17, 5 Au 2.98-3.01
Ir 0.0000 0.0000 0.6576  5 Ho 2.91-3.17, 5 Au 2.94-3.10
Au 0.0000 0.0000 0.3223  5 Ir 2.94-3.10, 5 Ho 2.98-3.01

Calculated values
Energy relative to the elements ... -0.47 eV/atom
E_tot ... -36.2 eV for the cell shown
Crystal system ... tetragonal

=====

Record 4
## Ho8IrAu2 (PBE-GGA)

Data for Ho8IrAu2 after structural relaxation.

Cell lengths 6.9520, 17.6800, 5.6052 Å; angles 90.00, 118.97, 90.00 degrees
Last column: nearest neighbours and their distance in Å.
Space group Cm (No. 8)
Asymmetric unit:
Ho 0.0000 0.0000 0.0000  1 Ir 2.88, 1 Ho 3.14
Ho 0.0013 0.5000 0.1699  1 Ir 2.87, 1 Ho 3.14
Ho 0.0486 0.3848 0.7164  1 Ir 2.75, 2 Au 2.99-3.05
Ho 0.2513 0.1999 0.0851  2 Au 2.95-2.96
Ho 0.4509 0.3844 0.4525  1 Ir 2.74, 2 Au 2.99-3.04
Ir 0.2493 0.0000 0.5858  6 Ho 2.74-2.88
Au 0.2498 0.2529 0.5844  6 Ho 2.95-3.05

Calculated values
Energy relative to the elements ... -0.46 eV/atom
E_tot ... -114.2 eV for the cell shown
Crystal system ... monoclinic

=====

Record 5
## Ho5Ir4Au (PBE-GGA)

Data for Ho5Ir4Au after structural relaxation.

Cell lengths 3.4178, 3.4178, 17.5814 Å; angles 90.00, 90.00, 90.00 degrees
Last column: nearest neighbours and their distance in Å.
Space group P4/mmm (No. 123)
Asymmetric unit:
Ho 0.0000 0.0000 0.0000  8 Ir 2.96
Ho 0.0000 0.0000 0.1943  8 Ir 2.95-2.99
Ho 0.0000 0.0000 0.3874  4 Ir 2.92, 4 Au 3.12
Ir 0.5000 0.5000 0.0976  8 Ho 2.95-2.96
Ir 0.5000 0.5000 0.2942  8 Ho 2.92-2.99
Au 0.5000 0.5000 0.5000  8 Ho 3.12, 4 Au 3.42

Calculated values
Energy relative to the elements ... -0.85 eV/atom
E_tot ... -70.1 eV for the cell shown
Crystal system ... tetragonal

=====

Record 6
## Ho3IrAu (PBE-GGA)

Data for Ho3IrAu after structural relaxation.

Cell lengths 4.2596, 6.9289, 8.6813 Å; angles 90.00, 90.00, 90.00 degrees
Last column: nearest neighbours and their distance in Å.
Space group Pmmn (No. 59, origin choice 2)
Asymmetric unit:
Ho 0.2500 0.0056 0.1613  3 Ir 2.81-2.90, 2 Au 3.11
Ho 0.2500 0.2500 0.5627  1 Ir 2.84, 2 Au 2.90
Ir 0.2500 0.2500 0.8904  7 Ho 2.81-2.90
Au 0.2500 0.7500 0.6647  6 Ho 2.90-3.11

Calculated values
Energy relative to the elements ... -0.74 eV/atom
E_tot ... -59.1 eV for the cell shown
Crystal system ... orthorhombic

=====

Record 7
## Ho6Ir5Au (PBE-GGA)

Data for Ho6Ir5Au after structural relaxation.

Cell lengths 8.3464, 14.7227, 4.9060 Å; angles 90.00, 125.94, 90.00 degrees
Last column: nearest neighbours and their distance in Å.
Space group C2/m (No. 12)
Asymmetric unit:
Ho 0.2435 0.0000 0.2433  6 Ir 2.95-3.00, 2 Au 3.00-3.01, 1 Ho 3.29
Ho 0.2472 0.1697 0.7471  7 Ir 2.93-3.00, 1 Au 3.03
Ir 0.0000 0.0000 0.5000  8 Ho 2.95-3.00
Ir 0.0000 0.1661 0.0000  8 Ho 2.95-2.97
Ir 0.0000 0.3336 0.5000  8 Ho 2.93-3.00
Au 0.0000 0.5000 0.0000  8 Ho 3.00-3.03

Calculated values
Energy relative to the elements ... -0.86 eV/atom
E_tot ... -170.6 eV for the cell shown
Crystal system ... monoclinic

=====

Record 8
## LaHoIrAu (PBE-GGA)

Data for LaHoIrAu after structural relaxation.

Cell lengths 7.1885, 7.1885, 7.1885 Å; angles 90.00, 90.00, 90.00 degrees
Last column: nearest neighbours and their distance in Å.
Space group F-43m (No. 216)
Asymmetric unit:
La 0.0000 0.0000 0.0000  4 Ir 3.11, 4 Au 3.11
Ho 0.0000 0.0000 0.5000  4 Ir 3.11, 4 Au 3.11
Ir 0.2500 0.2500 0.2500  4 Ho 3.11, 4 La 3.11
Au 0.2500 0.2500 0.7500  4 La 3.11, 4 Ho 3.11

Calculated values
Energy relative to the elements ... -0.74 eV/atom
E_tot ... -98.3 eV for the cell shown
Crystal system ... cubic

=====

Among the records above, which one has the lowest E_tot? Ho6Ir5Au